[1]
Cs2TmTe2O6 | PBE-GGA | optimized geometry Values from VASP.

Properties
The density of states at the Fermi level comes out at 2.35 states/eV/f.u. For the total magnetic moment, the calculation gives 0.000 μB/f.u. Its raw formation energy is -1657 meV per atom. The calculation puts the calculated total energy at -5.49 eV per atom.

```
&SYSTEM
  ibrav = 0, nat = 11, ntyp = 4
/
ATOMIC_SPECIES
Te 127.60 Te.upf
Cs 132.91 Cs.upf
O 16.00 O.upf
Tm 168.93 Tm.upf
ATOMIC_POSITIONS angstrom
Te 3.278 2.240 5.276
Cs 0.000 0.697 6.165
O 3.278 0.855 3.953
Tm 3.278 -1.360 3.528
O -1.590 4.200 2.109
O 4.868 -1.823 5.064
O 1.688 -1.823 5.064
Te 0.000 0.137 1.897
O 1.590 4.200 2.109
Cs 3.278 1.680 1.008
O 0.000 1.522 3.220
CELL_PARAMETERS angstrom
6.555 0.000 0.000
-3.278 5.097 0.116
0.000 -2.719 7.057
```

***

[2]
Th2MnGe3Ir4 | PBE-GGA | optimized geometry Values from VASP.

Properties
The density of states at the Fermi level comes out at 7.22 states/eV/f.u. The formation enthalpy at 0 K comes out at -0.731 eV per atom. For the total magnetic moment, the calculation gives 3.266 μB/f.u. The calculation puts the calculated total energy at -8.06 eV per atom.

```
&SYSTEM
  ibrav = 0, nat = 10, ntyp = 4
/
ATOMIC_SPECIES
Ir 192.22 Ir.upf
Mn 54.94 Mn.upf
Ge 72.64 Ge.upf
Th 232.04 Th.upf
ATOMIC_POSITIONS angstrom
Ir -2.913 2.213 2.365
Mn -4.287 4.058 1.270
Ir -2.949 6.225 1.347
Ir -2.712 -0.322 -1.172
Ge -2.180 0.174 1.228
Th -1.743 2.870 -0.523
Th -4.119 5.568 4.235
Ir 0.000 0.000 0.000
Ge -3.682 8.264 2.484
Ge -1.575 4.380 2.442
CELL_PARAMETERS angstrom
-1.884 1.290 -3.528
-3.539 -1.933 1.184
-3.150 8.760 4.884
```

***

[3]
AgMoI2N | PBE-GGA | optimized geometry Values from VASP.

Properties
The density of states at the Fermi level comes out at 1.53 states/eV/f.u. For the total magnetic moment, the calculation gives 1.156 μB/f.u. Its raw formation energy is 332 meV per atom. The calculation puts the calculated total energy at -4.69 eV per atom.

```
&SYSTEM
  ibrav = 0, nat = 5, ntyp = 4
/
ATOMIC_SPECIES
Ag 107.87 Ag.upf
I 126.90 I.upf
Mo 95.94 Mo.upf
N 14.01 N.upf
ATOMIC_POSITIONS angstrom
Ag 2.845 2.845 1.920
I 2.845 0.000 0.000
Mo 0.000 0.000 0.000
I 0.000 2.845 0.000
N 0.000 0.000 1.920
CELL_PARAMETERS angstrom
5.690 0.000 0.000
0.000 5.690 0.000
0.000 0.000 3.840
```

***

[4]
SrSbRuI2 | PBE-GGA | optimized geometry Values from VASP.

Properties
The density of states at the Fermi level comes out at 3.35 states/eV/f.u. For the total magnetic moment, the calculation gives 5.123 μB/f.u. Its raw formation energy is 801 meV per atom. The calculation puts the calculated total energy at -2.83 eV per atom.

```
&SYSTEM
  ibrav = 0, nat = 5, ntyp = 4
/
ATOMIC_SPECIES
I 126.90 I.upf
Ru 101.07 Ru.upf
Sb 121.76 Sb.upf
Sr 87.62 Sr.upf
ATOMIC_POSITIONS angstrom
I 3.104 0.000 0.000
I 0.000 3.104 0.000
Ru 3.104 3.104 3.287
Sb 0.000 0.000 3.287
Sr 0.000 0.000 0.000
CELL_PARAMETERS angstrom
6.209 0.000 0.000
0.000 6.209 0.000
0.000 0.000 6.574
```

***

[5]
ZnHgOs2 | PBE-GGA | optimized geometry Values from VASP.

Properties
The density of states at the Fermi level comes out at 2.45 states/eV/f.u. The formation enthalpy at 0 K comes out at 0.278 eV per atom. For the total magnetic moment, the calculation gives 0.000 μB/f.u. The calculation puts the calculated total energy at -5.73 eV per atom.

```
&SYSTEM
  ibrav = 0, nat = 4, ntyp = 3
/
ATOMIC_SPECIES
Zn 65.41 Zn.upf
Os 190.23 Os.upf
Hg 200.59 Hg.upf
ATOMIC_POSITIONS angstrom
Zn 0.878 -3.407 1.383
Os -0.829 -2.581 -0.602
Hg 0.143 -6.352 0.928
Os 0.067 -0.260 0.106
CELL_PARAMETERS angstrom
-2.760 -0.693 0.045
0.213 -1.020 -2.649
1.870 -7.258 2.946
```

***

[6]
Pm12MgRh6 | PBE-GGA | optimized geometry Values from VASP.

Properties
The density of states at the Fermi level comes out at 15.40 states/eV/f.u. The formation enthalpy at 0 K comes out at -0.436 eV per atom. For the total magnetic moment, the calculation gives 0.000 μB/f.u. The calculation puts the calculated total energy at -5.84 eV per atom.

```
&SYSTEM
  ibrav = 0, nat = 19, ntyp = 3
/
ATOMIC_SPECIES
Pm 145.00 Pm.upf
Rh 102.91 Rh.upf
Mg 24.30 Mg.upf
ATOMIC_POSITIONS angstrom
Pm 1.614 5.218 3.475
Rh -0.063 3.800 5.341
Rh 0.615 -0.060 4.653
Pm 3.398 7.263 -0.473
Rh 4.533 0.632 4.693
Rh -0.153 4.471 1.421
Mg 0.000 0.000 0.000
Pm 6.664 -1.263 4.303
Pm 2.214 1.972 5.755
Pm -0.533 2.110 3.145
Pm 2.767 -0.115 2.638
Pm -2.283 6.366 1.810
Rh 3.765 5.163 1.460
Rh 4.443 1.304 0.772
Pm 4.913 2.993 2.969
Pm 2.167 3.131 0.358
Pm -2.258 3.091 7.061
Pm 6.638 2.012 -0.948
Pm 0.982 -2.159 6.587
CELL_PARAMETERS angstrom
8.753 -0.869 -1.041
-2.186 8.520 -1.041
-2.186 -2.547 8.197
```

***

[7]
K2BeH4Se2O10 | PBE-GGA | optimized geometry Values from VASP.

Properties
The density of states at the Fermi level comes out at 0.00 states/eV/f.u. For the total magnetic moment, the calculation gives 0.142 μB/f.u. The calculation puts the calculated total energy at -5.30 eV per atom.

```
&SYSTEM
  ibrav = 0, nat = 76, ntyp = 5
/
ATOMIC_SPECIES
O 16.00 O.upf
H 1.01 H.upf
Se 78.96 Se.upf
K 39.10 K.upf
Be 9.01 Be.upf
ATOMIC_POSITIONS angstrom
O 1.011 5.872 1.548
O 8.350 4.961 3.715
O 0.552 2.911 5.027
H 9.781 0.809 4.660
Se 4.668 5.473 4.308
O 2.317 7.678 7.887
O 8.339 4.260 6.243
O 6.282 4.497 7.932
O 3.726 4.571 5.357
H 2.285 8.022 6.940
O 2.306 0.763 5.355
K 4.852 1.772 4.537
O 5.481 6.719 5.029
O 11.054 2.959 10.053
Be 5.011 4.093 8.850
O 6.885 6.110 1.861
Be 7.054 4.737 2.751
O 10.823 4.846 2.650
H 0.118 6.502 10.428
H 0.995 5.606 9.374
K 9.146 8.610 10.499
O 5.784 4.334 3.668
O 5.022 2.064 1.546
H 3.247 7.694 8.252
O 0.249 0.525 3.666
O 10.915 6.540 11.528
K 1.181 5.580 4.538
O 9.759 8.068 6.245
O 4.790 7.793 8.952
O 10.745 7.391 1.601
Be 11.044 0.929 2.749
O 11.514 5.920 6.573
O 7.353 3.583 1.599
O 7.275 1.038 2.649
Se 11.427 5.847 1.437
H 9.280 4.944 3.351
O 11.817 8.305 7.934
O 4.713 5.247 10.001
O 4.882 6.098 0.074
H 11.071 3.224 2.226
H 5.915 2.694 10.427
H 5.038 1.798 9.372
H 8.318 4.617 4.662
H 3.748 4.214 6.938
O 3.716 3.870 7.885
H 11.948 2.328 1.172
K 7.214 7.059 7.064
Se 5.394 6.792 10.165
K 2.920 0.221 1.102
Se 10.701 7.166 7.295
K 10.885 3.251 7.062
O 5.181 2.720 9.740
O 1.320 1.439 9.999
Se 7.398 3.358 7.293
O 11.214 2.302 1.859
O 1.151 2.290 0.073
O 1.242 3.985 8.950
O 7.184 2.732 11.526
O 7.044 6.767 10.055
O 2.347 2.189 3.070
Se 6.672 2.039 1.436
H 2.786 3.886 8.250
O 9.719 6.642 8.531
O 6.584 2.112 6.571
H 7.028 7.033 2.228
K 3.113 4.029 1.103
H 8.819 1.136 3.349
O 9.749 1.153 3.713
Be 1.022 7.901 8.852
Se 1.365 1.664 4.306
K 8.953 4.801 10.497
O 8.380 2.834 8.529
O 3.686 5.997 3.071
O 0.852 6.528 9.742
H 6.151 6.136 1.174
Se 0.639 2.984 10.163
CELL_PARAMETERS angstrom
12.066 0.000 0.000
0.000 7.616 0.004
0.000 1.214 11.597
```

***

[8]
Sr7Tl4H | PBE-GGA | optimized geometry Values from VASP.

Properties
The density of states at the Fermi level comes out at 8.38 states/eV/f.u. For the total magnetic moment, the calculation gives 0.000 μB/f.u. The calculation puts the calculated total energy at -2.33 eV per atom.

```
&SYSTEM
  ibrav = 0, nat = 12, ntyp = 3
/
ATOMIC_SPECIES
H 1.01 H.upf
Sr 87.62 Sr.upf
Tl 204.38 Tl.upf
ATOMIC_POSITIONS angstrom
H 0.000 0.000 0.000
Sr -11.611 -2.876 -4.843
Sr -8.615 -4.557 -2.703
Tl -12.007 -5.535 -2.299
Sr -10.806 -4.403 0.911
Sr -4.963 -1.184 -5.803
Sr -2.596 0.984 0.624
Tl -8.260 -2.017 -5.227
Tl -3.763 -0.052 -2.593
Sr -4.158 -2.711 -0.049
Tl -7.510 -3.570 0.334
Sr -7.155 -1.030 -2.189
CELL_PARAMETERS angstrom
-5.192 1.967 1.249
-5.276 -0.471 -8.223
-5.302 -7.083 2.082
```